A relaxed structure of Pr3TlHg4. Source: Alexandria via LeMat-Bulk, functional PBE.

Results
- D(E_F): 6.1 states/eV/f.u.
- SG: No. 71
- Relative energy among the computed polymorphs: 103 meV per atom
- Total magnetization: 0.00 μB per cell

a b c (Å): 3.8614 9.4036 8.3783
angles (deg): 124.14 103.32 90.00
Closest atoms and distances in Å follow each position.
Positions (direct):
Pr  0.2006  0.2006  0.4012  6 Hg 3.11-3.36, 2 Tl 3.30
Pr  0.7994  0.7994  0.5988  6 Hg 3.11-3.36, 2 Tl 3.30
Pr  0.0000  0.5000  0.0000  8 Hg 3.34
Tl  0.5000  0.0000  0.0000  4 Hg 3.10, 4 Pr 3.30
Hg  0.3713  0.1457  0.7426  1 Tl 3.10, 5 Pr 3.11-3.36, 1 Hg 3.43
Hg  0.6287  0.8543  0.2574  1 Tl 3.10, 5 Pr 3.11-3.36, 1 Hg 3.43
Hg  0.6287  0.4032  0.2574  1 Tl 3.10, 5 Pr 3.11-3.36, 1 Hg 3.43
Hg  0.3713  0.5968  0.7426  1 Tl 3.10, 5 Pr 3.11-3.36, 1 Hg 3.43